DFT (PBE-GGA) results for Cs3AlBr after structural relaxation.

The space group is No. 221. Its formation energy without anion corrections is -0.339 eV/atom. As for the total magnetic moment: 2.68 μB/cell. The energy is -9.7 eV/cell. Its theoretical density is 2.528 g/cm3. The energy relative to the lowest polymorph listed for this composition comes out at 0 meV/atom.

a b c (Å): 6.9248 6.9248 6.9248
angles (deg): 90.00 90.00 90.00
Closest atoms and distances in Å follow each position.
Sites, in units of the cell vectors:
Cs: 0.0000 0.0000 0.5000  2 Br 3.46
Cs: 0.0000 0.5000 0.0000  2 Br 3.46
Cs: 0.5000 0.0000 0.0000  2 Br 3.46
Al: 0.5000 0.5000 0.5000  12 Cs 4.90
Br: 0.0000 0.0000 0.0000  6 Cs 3.46